# Mg8Tl | Alexandria via LeMat-Bulk | PBEsol | optimized geometry
data_Mg8Tl
_space_group_name_H-M_alt 'P 1'
_space_group_IT_number 1
_cell_length_a 4.493
_cell_length_b 7.089
_cell_length_c 7.089
_cell_angle_alpha 84.24
_cell_angle_beta 71.52
_cell_angle_gamma 71.52
loop_
_space_group_symop_operation_xyz
'x,y,z'
loop_
_atom_site_label
_atom_site_fract_x
_atom_site_fract_y
_atom_site_fract_z
Mg1 0.667 0.000 0.666
Mg2 0.000 0.333 0.667
Mg3 0.333 0.667 0.667
Mg4 0.667 0.333 0.333
Mg5 0.333 0.334 0.000
Mg6 0.333 0.000 0.334
Mg7 0.000 0.667 0.333
Mg8 0.667 0.666 0.000
Tl1 0.000 0.000 0.000
# Space-group type: I4/mmm
# DOS at the Fermi energy (states/eV/f.u.): 3.9
# Formation energy (kJ per mole of atoms): -2.5
# Total energy (eV per cell): -16.60

---

# Be4Zn | Alexandria via LeMat-Bulk | PBEsol | optimized geometry
data_Be4Zn
_space_group_name_H-M_alt 'P 1'
_space_group_IT_number 1
_cell_length_a 3.313
_cell_length_b 4.063
_cell_length_c 4.063
_cell_angle_alpha 80.44
_cell_angle_beta 65.94
_cell_angle_gamma 65.94
loop_
_space_group_symop_operation_xyz
'x,y,z'
loop_
_atom_site_label
_atom_site_fract_x
_atom_site_fract_y
_atom_site_fract_z
Be1 0.406 0.784 0.404
Be2 0.594 0.216 0.596
Be3 0.810 0.596 0.784
Be4 0.190 0.404 0.216
Zn1 0.000 0.000 0.000
# Space-group type: I4/m
# DOS at the Fermi energy (states/eV/f.u.): 1.0
# Formation energy (kJ per mole of atoms): 15.4
# Total energy (eV per cell): -16.78

---

# Sb2RuRh | Alexandria via LeMat-Bulk | PBEsol | optimized geometry
data_Sb2RuRh
_space_group_name_H-M_alt 'P 1'
_space_group_IT_number 1
_cell_length_a 3.202
_cell_length_b 4.397
_cell_length_c 5.499
_cell_angle_alpha 102.04
_cell_angle_beta 90.00
_cell_angle_gamma 111.35
loop_
_space_group_symop_operation_xyz
'x,y,z'
loop_
_atom_site_label
_atom_site_fract_x
_atom_site_fract_y
_atom_site_fract_z
Sb1 0.748 0.496 0.746
Sb2 0.252 0.504 0.254
Rh1 0.500 0.000 0.000
Ru1 0.000 0.000 0.500
# Space-group type: C2/m
# Formation energy from raw total energies (eV/f.u.): -0.1
# Energy relative to the lowest polymorph listed for this composition (meV/atom): 0.0
# DOS at the Fermi energy (states/eV/f.u.): 2.9
# Total energy (eV per cell): -27.53

---

# LiZrSc2 | Alexandria via LeMat-Bulk | PBEsol | optimized geometry
data_LiZrSc2
_space_group_name_H-M_alt 'P 1'
_space_group_IT_number 1
_cell_length_a 3.131
_cell_length_b 5.382
_cell_length_c 5.382
_cell_angle_alpha 106.05
_cell_angle_beta 90.00
_cell_angle_gamma 90.00
loop_
_space_group_symop_operation_xyz
'x,y,z'
loop_
_atom_site_label
_atom_site_fract_x
_atom_site_fract_y
_atom_site_fract_z
Zr1 0.500 0.000 0.000
Li1 0.500 0.500 0.500
Sc1 0.000 0.500 0.000
Sc2 0.000 0.000 0.500
# Space-group type: Cmmm
# Energy relative to the lowest polymorph listed for this composition (meV/atom): 119.9
# DOS at the Fermi energy (states/eV/f.u.): 6.0
# Formation energy (kJ per mole of atoms): 17.2
# Total energy (eV per cell): -23.55

---

Number 1: total moment 0.00 μB per formula unit. Number 2: total moment 0.00 μB per formula unit. Number 3: total moment 0.00 μB per formula unit. Number 4: total moment 0.00 μB per formula unit.